--- w ---
A plane-wave DFT calculation with PBE was carried out for crystalline LaDy2Y7 at its relaxed geometry.

Summary:
Spin magnetization (μB per cell): 0.0

a = 6.205 Å, b = 6.212 Å, c = 9.483 Å
α = 102.52°, β = 109.05°, γ = 99.65°
Fractional positions:
La (0.000, 0.000, 0.000)
Dy (0.401, 0.501, 0.302)
Dy (0.599, 0.499, 0.698)
Y (0.000, 0.500, 0.500)
Y (0.201, 0.500, 0.899)
Y (0.202, 0.002, 0.401)
Y (0.399, 0.000, 0.797)
Y (0.601, 0.000, 0.203)
Y (0.798, 0.998, 0.599)
Y (0.799, 0.500, 0.101)

***

--- x ---
A plane-wave DFT calculation with PBE was carried out for crystalline LaDy2Y7 at its relaxed geometry.

Summary:
Spin magnetization (μB per cell): 0.0

a = 9.121 Å, b = 9.121 Å, c = 5.703 Å
α = 90.00°, β = 90.00°, γ = 122.01°
Fractional positions:
La (0.000, 0.000, 0.000)
Dy (0.297, 0.703, 0.500)
Dy (0.703, 0.297, 0.500)
Y (0.059, 0.296, 0.500)
Y (0.226, 0.774, 0.000)
Y (0.296, 0.059, 0.500)
Y (0.500, 0.500, 0.500)
Y (0.704, 0.941, 0.500)
Y (0.774, 0.226, 0.000)
Y (0.941, 0.704, 0.500)

***

So which one wins? Going from most stable to least: w, x.

***

--- w ---
A plane-wave DFT calculation with PBE was carried out for crystalline LaDy4Y2 at its relaxed geometry.

Summary:
Spin magnetization (μB per cell): 0.0

a = 6.179 Å, b = 6.591 Å, c = 11.499 Å
α = 90.00°, β = 103.53°, γ = 90.00°
Fractional positions:
La (0.048, 0.250, 0.361)
La (0.952, 0.750, 0.639)
Dy (0.149, 0.250, 0.664)
Dy (0.289, 0.750, 0.924)
Dy (0.355, 0.510, 0.211)
Dy (0.355, 0.990, 0.211)
Dy (0.645, 0.010, 0.789)
Dy (0.645, 0.490, 0.789)
Dy (0.711, 0.250, 0.076)
Dy (0.851, 0.750, 0.336)
Y (0.150, 0.250, 0.950)
Y (0.393, 0.750, 0.508)
Y (0.607, 0.250, 0.492)
Y (0.850, 0.750, 0.050)

***

--- x ---
A plane-wave DFT calculation with PBE was carried out for crystalline LaDy4Y2 at its relaxed geometry.

Summary:
Spin magnetization (μB per cell): 0.0

a = 7.162 Å, b = 8.010 Å, c = 8.770 Å
α = 68.61°, β = 89.93°, γ = 77.08°
Fractional positions:
La (0.000, 0.000, 0.000)
La (0.429, 0.286, 0.569)
Dy (0.071, 0.716, 0.426)
Dy (0.214, 0.145, 0.285)
Dy (0.287, 0.855, 0.713)
Dy (0.358, 0.572, 0.142)
Dy (0.643, 0.434, 0.857)
Dy (0.787, 0.856, 0.713)
Dy (0.858, 0.570, 0.144)
Dy (0.929, 0.288, 0.570)
Y (0.142, 0.435, 0.856)
Y (0.501, 0.000, 0.000)
Y (0.571, 0.718, 0.427)
Y (0.715, 0.145, 0.284)

***

So which one wins? Going from most stable to least: x, w.

***

--- w ---
A plane-wave DFT calculation with PBE was carried out for crystalline La3DyY4 at its relaxed geometry.

Summary:
Spin magnetization (μB per cell): 0.0

a = 11.652 Å, b = 7.382 Å, c = 6.377 Å
α = 90.00°, β = 90.00°, γ = 90.00°
Fractional positions:
La (0.000, 0.126, 0.000)
La (0.250, 0.122, 0.328)
La (0.250, 0.878, 0.828)
La (0.500, 0.874, 0.500)
La (0.750, 0.122, 0.328)
La (0.750, 0.878, 0.828)
Dy (0.000, 0.869, 0.498)
Dy (0.500, 0.131, 0.998)
Y (0.000, 0.377, 0.496)
Y (0.000, 0.624, 0.998)
Y (0.248, 0.622, 0.333)
Y (0.252, 0.378, 0.833)
Y (0.500, 0.376, 0.498)
Y (0.500, 0.623, 0.996)
Y (0.748, 0.378, 0.833)
Y (0.752, 0.622, 0.333)

***

--- x ---
A plane-wave DFT calculation with PBE was carried out for crystalline La3DyY4 at its relaxed geometry.

Summary:
Spin magnetization (μB per cell): 0.0

a = 3.512 Å, b = 11.868 Å, c = 13.227 Å
α = 90.00°, β = 90.00°, γ = 90.00°
Fractional positions:
La (0.000, 0.000, 0.000)
La (0.000, 0.500, 0.244)
La (0.000, 0.500, 0.756)
La (0.500, 0.000, 0.256)
La (0.500, 0.000, 0.744)
La (0.500, 0.500, 0.500)
Dy (0.000, 0.000, 0.500)
Dy (0.500, 0.500, 0.000)
Y (0.000, 0.246, 0.366)
Y (0.000, 0.246, 0.634)
Y (0.000, 0.754, 0.366)
Y (0.000, 0.754, 0.634)
Y (0.500, 0.254, 0.134)
Y (0.500, 0.254, 0.866)
Y (0.500, 0.746, 0.134)
Y (0.500, 0.746, 0.866)

***

So which one wins? Going from most stable to least: w, x.

***

--- w ---
A plane-wave DFT calculation with PBE was carried out for crystalline LaDy4Y at its relaxed geometry.

Summary:
Spin magnetization (μB per cell): 0.0

a = 11.703 Å, b = 3.433 Å, c = 11.519 Å
α = 90.00°, β = 119.46°, γ = 90.00°
Fractional positions:
La (0.000, 0.000, 0.000)
La (0.500, 0.500, 0.000)
Dy (0.190, 0.000, 0.843)
Dy (0.192, 0.000, 0.347)
Dy (0.308, 0.500, 0.653)
Dy (0.310, 0.500, 0.157)
Dy (0.690, 0.500, 0.843)
Dy (0.692, 0.500, 0.347)
Dy (0.808, 0.000, 0.653)
Dy (0.810, 0.000, 0.157)
Y (0.000, 0.000, 0.500)
Y (0.500, 0.500, 0.500)

***

--- x ---
A plane-wave DFT calculation with PBE was carried out for crystalline LaDy4Y at its relaxed geometry.

Summary:
Spin magnetization (μB per cell): 0.0

a = 18.627 Å, b = 3.586 Å, c = 6.186 Å
α = 90.00°, β = 109.35°, γ = 90.00°
Fractional positions:
La (0.000, 0.000, 0.000)
La (0.500, 0.500, 0.000)
Dy (0.168, 0.000, 0.834)
Dy (0.169, 0.500, 0.335)
Dy (0.331, 0.000, 0.665)
Dy (0.332, 0.500, 0.166)
Dy (0.668, 0.500, 0.834)
Dy (0.669, 0.000, 0.335)
Dy (0.831, 0.500, 0.665)
Dy (0.832, 0.000, 0.166)
Y (0.000, 0.500, 0.500)
Y (0.500, 0.000, 0.500)

***

So which one wins? Going from most stable to least: x, w.